No. 1
Compound: Tl2Bi2I
Source: Alexandria
Functional: GGA-PBEsol
Structure: relaxed

Cell and atoms, written as extended XYZ:
```
5
Lattice="4.4242 0.0000 0.0000 0.0000 4.4242 0.0000 -2.2121 -2.2121 9.0182" Properties=species:S:1:pos:R:3 pbc="T T T"
Bi 2.2121 0.0000 4.5091
Bi 0.0000 2.2121 4.5091
Tl 0.0000 0.0000 7.3277
Tl 2.2121 2.2121 1.6905
I 0.0000 0.0000 0.0000
```

## Properties
The calculation puts the total energy at -3.265 eV/atom. The calculation puts the formation energy (no corrections) at -0.73 eV per formula unit. The symmetry is I4/mmm.

No. 2
Compound: YIrN2
Source: Alexandria
Functional: GGA-PBEsol
Structure: relaxed

Cell and atoms, written as extended XYZ:
```
4
Lattice="-0.7512 2.3216 3.1768 -0.4340 -1.6463 3.6259 2.8171 0.5417 2.7958" Properties=species:S:1:pos:R:3 pbc="T T T"
Ir 0.8160 0.6085 4.7993
N 0.4080 0.3042 2.3996
N 1.2240 0.9127 7.1989
Y 0.0000 0.0000 0.0000
```

## Properties
The calculation puts the total energy at -8.403 eV/atom. The calculation puts the formation energy (no corrections) at 0.08 eV per formula unit. The symmetry is Fm-3m.

No. 3
Compound: LaPO4
Source: Alexandria
Functional: GGA-PBEsol
Structure: relaxed

Cell and atoms, written as extended XYZ:
```
18
Lattice="-2.1049 6.0002 0.8882 -5.5083 -1.2727 -4.4566 -0.7003 -1.2889 7.0478" Properties=species:S:1:pos:R:3 pbc="T T T"
O -7.2058 4.0751 0.9227
O -4.8926 2.2929 2.9738
O -4.9297 0.5232 1.1352
O -4.5584 0.8312 -1.8303
O -3.6904 -1.7021 3.6345
O -3.1327 5.1356 3.4110
O -2.6813 3.0504 4.8614
O -6.4139 2.6163 -1.0523
O -2.7622 1.1434 2.0818
O -2.5982 -0.6315 -1.0096
O -4.0426 2.9177 0.7678
O -2.9735 0.3792 4.9798
P -3.1050 0.3637 -2.0803
P -2.1043 4.3557 4.2640
P -4.1568 1.7193 1.7397
La -3.1043 -1.2808 1.2956
La -1.0518 1.3556 3.8199
La -4.1575 3.3638 -1.6362
```

## Properties
The calculation puts the total energy at -8.401 eV/atom. The calculation puts the formation energy (no corrections) at -18.27 eV per formula unit. The symmetry is P6_222.

- The highest formation energy (no corrections) belongs to which entry?
  YIrN2

- Which of these has the highest formation energy (no corrections)?
  YIrN2